1.
Entry from the Alexandria database: an optimized crystal structure of TiIr2PbW (PBE).

The calculation puts the density of states at the Fermi level at 5.5 states/eV/cell. The value obtained for the mass density is 11.538 g cm⁻³. The calculation puts the energy of formation from the pure elements at 1.40 eV/atom. The calculation puts the total energy at -35.3 eV/f.u.

The space group is P4/mmm (No. 123) and the conventional cell measures 4.798, 4.798 and 5.148 Å, with angles of 90.00, 90.00 and 90.00 degrees. Symmetry generates all atoms from Ti at (0.000, 0.000, 0.000), Ir at (0.000, 0.500, 0.500), Pb at (0.500, 0.500, 0.000) and W at (0.500, 0.500, 0.500).

=====

2.
Entry from the Alexandria database: an optimized crystal structure of TlIr2Pb (PBE).

The calculation puts the density of states at the Fermi level at 3.0 states/eV/cell. The value obtained for the mass density is 17.407 g cm⁻³. The calculation puts the energy of formation from the pure elements at 0.56 eV/atom. The calculation puts the total energy at -21.5 eV/f.u. The polymorph energy (0 for the lowest one) is 59 kJ/mol of formula units.

The space group is I4/mmm (No. 139) and the conventional cell measures 4.488, 4.488 and 7.540 Å, with angles of 90.00, 90.00 and 90.00 degrees. Symmetry generates all atoms from Tl at (0.000, 0.000, 0.000), Ir at (0.000, 0.500, 0.250) and Pb at (0.000, 0.000, 0.500).

=====

3.
Entry from the Alexandria database: an optimized crystal structure of TlIrPb (PBE).

The calculation puts the density of states at the Fermi level at 3.8 states/eV/cell. The value obtained for the mass density is 14.016 g cm⁻³. The calculation puts the energy of formation from the pure elements at 0.32 eV/atom. The calculation puts the total energy at -14.0 eV/f.u. The polymorph energy (0 for the lowest one) is 22 kJ/mol of formula units.

The space group is I4mm (No. 107) and the conventional cell measures 3.285, 3.285 and 13.255 Å, with angles of 90.00, 90.00 and 90.00 degrees. Symmetry generates all atoms from Tl at (0.000, 0.000, 0.000), Ir at (0.000, 0.000, 0.359) and Pb at (0.000, 0.000, 0.726).

=====

4.
Entry from the Alexandria database: an optimized crystal structure of TlIr2Pb (PBE).

The calculation puts the density of states at the Fermi level at 2.8 states/eV/cell. The value obtained for the mass density is 15.417 g cm⁻³. The calculation puts the energy of formation from the pure elements at 0.41 eV/atom. The calculation puts the total energy at -22.2 eV/f.u. The polymorph energy (0 for the lowest one) is 0 kJ/mol of formula units.

The space group is Pm (No. 6) and the conventional cell measures 4.051, 4.182 and 5.449 Å, with angles of 90.00, 111.76 and 90.00 degrees. Symmetry generates all atoms from Tl at (0.000, 0.000, 0.000), Ir at (0.582, 0.500, 0.169), Ir at (0.720, 0.000, 0.434) and Pb at (0.302, 0.500, 0.604).

=====

5.
Entry from the Alexandria database: an optimized crystal structure of TlIr2Pb (PBE).

The calculation puts the density of states at the Fermi level at 2.2 states/eV/cell. The value obtained for the mass density is 17.411 g cm⁻³. The calculation puts the energy of formation from the pure elements at 0.56 eV/atom. The calculation puts the total energy at -21.5 eV/f.u. The polymorph energy (0 for the lowest one) is 60 kJ/mol of formula units.

The space group is C2/m (No. 12) and the conventional cell measures 6.332, 7.563 and 3.171 Å, with angles of 90.00, 90.33 and 90.00 degrees. Symmetry generates all atoms from Tl at (0.000, 0.000, 0.000), Ir at (0.250, 0.250, 0.500) and Pb at (0.000, 0.500, 0.000).

=====

6.
Entry from the Alexandria database: an optimized crystal structure of TlIr4Pb (PBE).

The calculation puts the density of states at the Fermi level at 32.5 states/eV/cell. The value obtained for the mass density is 17.629 g cm⁻³. The calculation puts the energy of formation from the pure elements at 0.49 eV/atom. The calculation puts the total energy at -38.6 eV/f.u.

The space group is F-43m (No. 216) and the conventional cell measures 7.633, 7.633 and 7.633 Å, with angles of 90.00, 90.00 and 90.00 degrees. Symmetry generates all atoms from Tl at (0.000, 0.000, 0.000), Ir at (0.125, 0.125, 0.625) and Pb at (0.250, 0.250, 0.250).

=====

7.
Entry from the Alexandria database: an optimized crystal structure of Tl2IrPb (PBE).

The calculation puts the density of states at the Fermi level at 5.7 states/eV/cell. The value obtained for the mass density is 13.749 g cm⁻³. The calculation puts the energy of formation from the pure elements at 0.58 eV/atom. The calculation puts the total energy at -15.0 eV/f.u. The polymorph energy (0 for the lowest one) is 136 kJ/mol of formula units.

The space group is C2/m (No. 12) and the conventional cell measures 5.964, 10.936 and 3.500 Å, with angles of 90.00, 121.22 and 90.00 degrees. Symmetry generates all atoms from Tl at (0.250, 0.250, 0.000), Ir at (0.000, 0.000, 0.500) and Pb at (0.000, 0.500, 0.500).

=====

8.
Entry from the Alexandria database: an optimized crystal structure of TlIr2Pb (PBE).

The calculation puts the density of states at the Fermi level at 1.5 states/eV/cell. The value obtained for the mass density is 17.414 g cm⁻³. The calculation puts the energy of formation from the pure elements at 0.56 eV/atom. The calculation puts the total energy at -21.6 eV/f.u. The polymorph energy (0 for the lowest one) is 58 kJ/mol of formula units.

The space group is P2/m (No. 10) and the conventional cell measures 3.165, 3.795 and 6.319 Å, with angles of 90.00, 90.00 and 90.00 degrees. Symmetry generates all atoms from Tl at (0.000, 0.000, 0.000), Ir at (0.498, 0.500, 0.245) and Pb at (0.000, 0.000, 0.500).

=====

9.
Entry from the Alexandria database: an optimized crystal structure of Tl2IrPb (PBE).

The calculation puts the density of states at the Fermi level at 5.0 states/eV/cell. The value obtained for the mass density is 12.848 g cm⁻³. The calculation puts the energy of formation from the pure elements at 0.26 eV/atom. The calculation puts the total energy at -16.3 eV/f.u. The polymorph energy (0 for the lowest one) is 9 kJ/mol of formula units.

The space group is Imm2 (No. 44) and the conventional cell measures 3.179, 4.707 and 13.960 Å, with angles of 90.00, 90.00 and 90.00 degrees. Symmetry generates all atoms from Tl at (0.000, 0.000, 0.000), Tl at (0.000, 0.500, 0.179), Ir at (0.000, 0.500, 0.686) and Pb at (0.000, 0.000, 0.360).

=====

10.
Entry from the Alexandria database: an optimized crystal structure of Tl2IrPb (PBE).

The calculation puts the density of states at the Fermi level at 6.0 states/eV/cell. The value obtained for the mass density is 12.625 g cm⁻³. The calculation puts the energy of formation from the pure elements at 0.30 eV/atom. The calculation puts the total energy at -16.1 eV/f.u. The polymorph energy (0 for the lowest one) is 25 kJ/mol of formula units.

The space group is Immm (No. 71) and the conventional cell measures 3.196, 4.756 and 13.983 Å, with angles of 90.00, 90.00 and 90.00 degrees. Symmetry generates all atoms from Tl at (0.000, 0.000, 0.184), Ir at (0.000, 0.500, 0.500) and Pb at (0.000, 0.500, 0.000).

=====

11.
Entry from the Alexandria database: an optimized crystal structure of Tl4IrPb (PBE).

The calculation puts the density of states at the Fermi level at 16.6 states/eV/cell. The value obtained for the mass density is 12.160 g cm⁻³. The calculation puts the energy of formation from the pure elements at 0.73 eV/atom. The calculation puts the total energy at -17.7 eV/f.u.

The space group is F-43m (No. 216) and the conventional cell measures 8.727, 8.727 and 8.727 Å, with angles of 90.00, 90.00 and 90.00 degrees. Symmetry generates all atoms from Tl at (0.124, 0.124, 0.124), Ir at (0.250, 0.250, 0.750) and Pb at (0.000, 0.000, 0.500).

=====

12.
Entry from the Alexandria database: an optimized crystal structure of Tl3IrPb (PBE).

The calculation puts the density of states at the Fermi level at 4.0 states/eV/cell. The value obtained for the mass density is 11.213 g cm⁻³. The calculation puts the energy of formation from the pure elements at 0.27 eV/atom. The calculation puts the total energy at -18.3 eV/f.u. The polymorph energy (0 for the lowest one) is 0 kJ/mol of formula units.

The space group is Pm-3m (No. 221) and the conventional cell measures 5.313, 5.313 and 5.313 Å, with angles of 90.00, 90.00 and 90.00 degrees. Symmetry generates all atoms from Tl at (0.000, 0.000, 0.500), Ir at (0.000, 0.000, 0.000) and Pb at (0.500, 0.500, 0.500).

=====

13.
Entry from the Alexandria database: an optimized crystal structure of Tl2IrPb (PBE).

The calculation puts the density of states at the Fermi level at 5.3 states/eV/cell. The value obtained for the mass density is 14.067 g cm⁻³. The calculation puts the energy of formation from the pure elements at 0.57 eV/atom. The calculation puts the total energy at -15.0 eV/f.u. The polymorph energy (0 for the lowest one) is 129 kJ/mol of formula units.

The space group is I4/mmm (No. 139) and the conventional cell measures 4.755, 4.755 and 8.441 Å, with angles of 90.00, 90.00 and 90.00 degrees. Symmetry generates all atoms from Tl at (0.000, 0.500, 0.250), Ir at (0.000, 0.000, 0.000) and Pb at (0.000, 0.000, 0.500).

=====

14.
Entry from the Alexandria database: an optimized crystal structure of Tl2IrPb (PBE).

The calculation puts the density of states at the Fermi level at 5.3 states/eV/cell. The value obtained for the mass density is 13.962 g cm⁻³. The calculation puts the energy of formation from the pure elements at 0.63 eV/atom. The calculation puts the total energy at -14.8 eV/f.u. The polymorph energy (0 for the lowest one) is 152 kJ/mol of formula units.

The space group is Cmmm (No. 65) and the conventional cell measures 6.291, 9.029 and 3.384 Å, with angles of 90.00, 90.00 and 90.00 degrees. Symmetry generates all atoms from Tl at (0.250, 0.250, 0.000), Ir at (0.000, 0.000, 0.500) and Pb at (0.000, 0.500, 0.500).

=====

15.
Entry from the Alexandria database: an optimized crystal structure of Tl2IrPb (PBE).

The calculation puts the density of states at the Fermi level at 2.4 states/eV/cell. The value obtained for the mass density is 13.651 g cm⁻³. The calculation puts the energy of formation from the pure elements at 0.57 eV/atom. The calculation puts the total energy at -15.0 eV/f.u. The polymorph energy (0 for the lowest one) is 130 kJ/mol of formula units.

The space group is P4/mmm (No. 123) and the conventional cell measures 4.304, 4.304 and 5.308 Å, with angles of 90.00, 90.00 and 90.00 degrees. Symmetry generates all atoms from Tl at (0.000, 0.500, 0.000), Ir at (0.000, 0.000, 0.500) and Pb at (0.500, 0.500, 0.500).

=====

16.
Entry from the Alexandria database: an optimized crystal structure of TlIr2Pb (PBE).

The calculation puts the density of states at the Fermi level at 15.5 states/eV/cell. The value obtained for the mass density is 15.217 g cm⁻³. The calculation puts the energy of formation from the pure elements at 0.58 eV/atom. The calculation puts the total energy at -21.5 eV/f.u. The polymorph energy (0 for the lowest one) is 67 kJ/mol of formula units.

The space group is R3m (No. 160, hexagonal axes) and the conventional cell measures 3.0422, 3.0422 and 32.5114 Å, with angles of 90.00, 90.00 and 120.00 degrees. Symmetry generates all atoms from Tl at (0.0000, 0.0000, 0.0000), Ir at (0.0000, 0.0000, 0.2555), Ir at (0.0000, 0.0000, 0.5274) and Pb at (0.0000, 0.0000, 0.7854).

=====

17.
Entry from the Alexandria database: an optimized crystal structure of TlIrPb (PBE).

The calculation puts the density of states at the Fermi level at 1.2 states/eV/cell. The value obtained for the mass density is 14.594 g cm⁻³. The calculation puts the energy of formation from the pure elements at 0.54 eV/atom. The calculation puts the total energy at -13.3 eV/f.u. The polymorph energy (0 for the lowest one) is 87 kJ/mol of formula units.

The space group is P-6m2 (No. 187) and the conventional cell measures 4.8825, 4.8825 and 3.3278 Å, with angles of 90.00, 90.00 and 120.00 degrees. Symmetry generates all atoms from Tl at (0.0000, 0.0000, 0.0000), Ir at (0.6667, 0.3333, 0.0000) and Pb at (0.3333, 0.6667, 0.5000).

=====

18.
Entry from the Alexandria database: an optimized crystal structure of TlIr2Pb (PBE).

The calculation puts the density of states at the Fermi level at 1.5 states/eV/cell. The value obtained for the mass density is 17.423 g cm⁻³. The calculation puts the energy of formation from the pure elements at 0.57 eV/atom. The calculation puts the total energy at -21.5 eV/f.u. The polymorph energy (0 for the lowest one) is 62 kJ/mol of formula units.

The space group is P4/mmm (No. 123) and the conventional cell measures 4.477, 4.477 and 3.785 Å, with angles of 90.00, 90.00 and 90.00 degrees. Symmetry generates all atoms from Tl at (0.000, 0.000, 0.000), Ir at (0.000, 0.500, 0.500) and Pb at (0.500, 0.500, 0.000).

=====

19.
Entry from the Alexandria database: an optimized crystal structure of TlIr2Pb (PBE).

The calculation puts the density of states at the Fermi level at 16.4 states/eV/cell. The value obtained for the mass density is 11.366 g cm⁻³. The calculation puts the energy of formation from the pure elements at 1.12 eV/atom. The calculation puts the total energy at -19.3 eV/f.u. The polymorph energy (0 for the lowest one) is 274 kJ/mol of formula units.

The space group is I-42d (No. 122) and the conventional cell measures 6.171, 6.171 and 12.217 Å, with angles of 90.00, 90.00 and 90.00 degrees. Symmetry generates all atoms from Tl at (0.000, 0.000, 0.000), Ir at (0.247, 0.250, 0.625) and Pb at (0.000, 0.000, 0.500).

=====

20.
Entry from the Alexandria database: an optimized crystal structure of Tl2IrPb (PBE).

The calculation puts the density of states at the Fermi level at 1.5 states/eV/cell. The value obtained for the mass density is 13.668 g cm⁻³. The calculation puts the energy of formation from the pure elements at 0.37 eV/atom. The calculation puts the total energy at -15.8 eV/f.u. The polymorph energy (0 for the lowest one) is 53 kJ/mol of formula units.

The space group is P4/mmm (No. 123) and the conventional cell measures 3.243, 3.243 and 9.338 Å, with angles of 90.00, 90.00 and 90.00 degrees. Symmetry generates all atoms from Tl at (0.000, 0.000, 0.196), Ir at (0.500, 0.500, 0.000) and Pb at (0.500, 0.500, 0.500).